No. 1
NaRePO6 PBE-GGA optimized geometry; N(E_F) = 0.115 states/eV per atom; E_form (uncorrected) = -1.703 eV per atom; total energy = -7.139 eV per atom; ρ = 5.060 g/cm³
1.0
4.940 0.000 0.000
-2.470 4.278 0.000
0.000 0.000 5.220
Na Re P O
1 1 1 6
Cartesian
0.000 0.000 0.000
0.000 2.852 2.610
2.470 1.426 2.610
1.914 0.131 3.616
1.070 1.592 1.604
3.026 0.131 1.604
1.627 2.555 3.616
3.870 1.592 3.616
3.314 2.555 1.604

***

No. 2
TbNiPb PBE-GGA optimized geometry; formation enthalpy at 0 K = -0.358 eV/atom; N(E_F) = 0.391 states/eV per atom; total energy = -5.065 eV per atom; ρ = 10.635 g/cm³
1.0
4.586 0.000 0.000
-2.293 3.971 0.000
0.000 0.000 3.642
Tb Ni Pb
1 1 1
Cartesian
0.000 0.000 0.000
2.293 1.324 1.821
0.000 2.647 1.821

***

No. 3
Eu2RhO PBE-GGA optimized geometry; energy relative to the lowest polymorph listed for this composition = 0.00 kJ per mole of atoms; N(E_F) = 1.853 states/eV per atom; E_form (uncorrected) = -1.399 eV per atom; total energy = -9.613 eV per atom; ρ = 8.842 g/cm³
1.0
3.589 0.000 0.000
-1.795 3.108 0.000
0.000 0.000 21.353
Eu Rh O
6 3 3
Cartesian
0.000 0.000 5.035
0.000 0.000 16.318
0.000 2.072 9.200
0.000 2.072 19.270
1.795 1.036 2.082
1.795 1.036 12.153
0.000 0.000 0.000
0.000 2.072 14.235
1.795 1.036 7.118
0.000 0.000 10.676
0.000 2.072 3.559
1.795 1.036 17.794